DFT (PBE) results for an optimized crystal structure of Cs2ReN.

The structure belongs to space group I-42d (No. 122); the cell edges are 12.6263, 12.6263 and 3.8654 Å and the angles 90.00°, 90.00° and 90.00°. The inequivalent atoms are Cs at (0.0635, 0.7500, 0.1250), Re at (0.0000, 0.0000, 0.5000) and N at (0.0000, 0.0000, 0.0000).

The uncorrected formation energy is 204 kJ/mol of formula units. Its total energy is -5.091 eV per atom.

DFT (PBE) results for an optimized crystal structure of WAu.

The structure belongs to space group P6_3/mmc (No. 194); the cell edges are 3.9522, 3.9522 and 5.8096 Å and the angles 90.00°, 90.00° and 120.00°. The inequivalent atoms are W at (0.3333, 0.6667, 0.2500) and Au at (0.0000, 0.0000, 0.0000).

For the formation energy, the calculation gives 1.522 eV/atom. Its total energy is -6.593 eV per atom. Its distance to the lowest polymorph of the same formula is 29.35 kcal/mol of atoms.

DFT (PBE) results for an optimized crystal structure of BaEr2Hf.

The structure belongs to space group R-3m (No. 166, hexagonal axes); the cell edges are 3.4639, 3.4639 and 36.9037 Å and the angles 90.00°, 90.00° and 120.00°. The inequivalent atoms are Ba at (0.0000, 0.0000, 0.0000), Er at (0.0000, 0.0000, 0.0974) and Hf at (0.0000, 0.0000, 0.5000).

For the formation energy, the calculation gives 0.300 eV/atom. Its total energy is -4.950 eV per atom.

DFT (PBE) results for an optimized crystal structure of Ti6ZnIr2.

The structure belongs to space group C2/m (No. 12); the cell edges are 13.4174, 7.7167 and 2.7229 Å and the angles 90.00°, 90.75° and 90.00°. The inequivalent atoms are Ti at (0.0000, 0.1638, 0.0000), Ti at (0.1718, 0.3239, 0.8399), Zn at (0.0000, 0.5000, 0.5000) and Ir at (0.1662, 0.0000, 0.5077).

For the formation energy, the calculation gives -0.233 eV/atom. Its total energy is -7.607 eV per atom.

DFT (PBE) results for an optimized crystal structure of Be2CdAs.

The structure belongs to space group Amm2 (No. 38); the cell edges are 3.5720, 3.6003 and 10.8367 Å and the angles 90.00°, 90.00° and 90.00°. The inequivalent atoms are Be at (0.0000, 0.0000, 0.0000), Be at (0.5000, 0.0000, 0.4903), Cd at (0.5000, 0.0000, 0.8200) and As at (0.0000, 0.0000, 0.6155).

For the formation energy, the calculation gives 0.200 eV/atom. Its total energy is -3.054 eV per atom. Its distance to the lowest polymorph of the same formula is 0.00 kcal/mol of atoms.

DFT (PBE) results for an optimized crystal structure of Dy2Y3ScS6.

The structure belongs to space group C2/m (No. 12); the cell edges are 16.8871, 3.8728 and 7.7864 Å and the angles 90.00°, 103.40° and 90.00°. The inequivalent atoms are Dy at (0.1660, 0.0000, 0.3324), Y at (0.0000, 0.5000, 0.5000), Y at (0.1683, 0.0000, 0.8345), Sc at (0.0000, 0.5000, 0.0000), S at (0.0008, 0.0000, 0.7615), S at (0.1617, 0.5000, 0.0813) and S at (0.1668, 0.5000, 0.5827).

The uncorrected formation energy is -2275 kJ/mol of formula units. Its total energy is -6.940 eV per atom.

DFT (PBE) results for an optimized crystal structure of PaPt.

The structure belongs to space group Pm-3m (No. 221); the cell edges are 3.5079, 3.5079 and 3.5079 Å and the angles 90.00°, 90.00° and 90.00°. The inequivalent atoms are Pa at (0.0000, 0.0000, 0.0000) and Pt at (0.5000, 0.5000, 0.5000).

For the formation energy, the calculation gives -0.753 eV/atom. Its total energy is -8.521 eV per atom.

DFT (PBE) results for an optimized crystal structure of Hf2NpSn.

The structure belongs to space group R-3m (No. 166, hexagonal axes); the cell edges are 3.2478, 3.2478 and 30.2037 Å and the angles 90.00°, 90.00° and 120.00°. The inequivalent atoms are Hf at (0.0000, 0.0000, 0.2494), Np at (0.0000, 0.0000, 0.0000) and Sn at (0.0000, 0.0000, 0.5000).

For the formation energy, the calculation gives 0.115 eV/atom. Its total energy is -9.098 eV per atom. Its distance to the lowest polymorph of the same formula is 3.17 kcal/mol of atoms.

DFT (PBE) results for an optimized crystal structure of GaP2SN.

The structure belongs to space group P4/mmm (No. 123); the cell edges are 4.0704, 4.0704 and 4.3363 Å and the angles 90.00°, 90.00° and 90.00°. The inequivalent atoms are Ga at (0.0000, 0.0000, 0.0000), P at (0.0000, 0.5000, 0.5000), S at (0.5000, 0.5000, 0.0000) and N at (0.5000, 0.5000, 0.5000).

The uncorrected formation energy is 449 kJ/mol of formula units. Its total energy is -4.328 eV per atom. Its distance to the lowest polymorph of the same formula is 0.00 kcal/mol of atoms.

DFT (PBE) results for an optimized crystal structure of LaCeMg2Au4.

The structure belongs to space group R-3m (No. 166, hexagonal axes); the cell edges are 4.7921, 4.7921 and 27.8300 Å and the angles 90.00°, 90.00° and 120.00°. The inequivalent atoms are La at (0.0000, 0.0000, 0.0000), Ce at (0.0000, 0.0000, 0.5000), Mg at (0.0000, 0.0000, 0.2473), Au at (0.0000, 0.0000, 0.1141) and Au at (0.0000, 0.0000, 0.3903).

For the formation energy, the calculation gives -0.710 eV/atom. Its total energy is -4.105 eV per atom.

Question: Number 3 is which compound?
Answer: BaEr2Hf